VASP calculation (PBE) on a relaxed structure of NaTeAs.

Cell lengths 6.0720, 6.0720, 7.4455 Å; angles 108.72, 108.72, 45.66 degrees
With the nearest neighbours (Å) after each atom.
Element x y z (fractional)
Na 0.1277 0.1277 0.4557  2 As 3.10, 1 Na 3.15, 3 Te 3.22
Na 0.8723 0.8723 0.5443  2 As 3.10, 1 Na 3.15, 3 Te 3.22
Te 0.3277 0.3277 0.2321  1 As 2.59
Te 0.6723 0.6723 0.7679  1 As 2.59
As 0.4589 0.4589 0.8306  1 As 2.37, 1 Te 2.59
As 0.5411 0.5411 0.1694  1 As 2.37, 1 Te 2.59

Results
volume: 30.67 Å³/atom
magnetic moment: 0.00 μB per formula unit
E_tot: -3.249 eV/atom
E_form (uncorrected): -0.21 eV/atom